(1)
Entry from the Alexandria database: a relaxed structure of CsCd2AgSn (PBE).

Values from the calculation:
calculated total energy = -9.062 eV per formula unit

Lattice parameters (Å, degrees): 5.9739 5.9739 5.3728 90.00 90.00 90.00
Space group P4/mmm (No. 123)
Asymmetric unit:
Cs 0.0000 0.0000 0.0000 [1 per cell]
Cd 0.0000 0.5000 0.5000 [2 per cell]
Ag 0.5000 0.5000 0.0000 [1 per cell]
Sn 0.5000 0.5000 0.5000 [1 per cell]


(2)
Entry from the Alexandria database: a relaxed structure of Mn2TeOs (PBE).

Values from the calculation:
formation energy (no corrections) = 0.463 eV per atom

Lattice parameters (Å, degrees): 2.9697 2.9697 7.4068 90.00 90.00 90.00
Space group P4/mmm (No. 123)
Asymmetric unit:
Mn 0.0000 0.0000 0.2138 [2 per cell]
Te 0.5000 0.5000 0.5000 [1 per cell]
Os 0.5000 0.5000 0.0000 [1 per cell]


(3)
Entry from the Alexandria database: a relaxed structure of Fe2Ni8Pt3 (PBE).

Values from the calculation:
calculated total energy = -79.717 eV per formula unit

Lattice parameters (Å, degrees): 4.6118 4.6118 27.3504 90.00 90.00 120.00
Space group R-3m (No. 166, hexagonal axes)
Asymmetric unit:
Fe 0.0000 0.0000 0.1400 [6 per cell]
Ni 0.0000 0.0000 0.2229 [6 per cell]
Ni 0.0021 0.5011 0.2658 [18 per cell]
Pt 0.0000 0.0000 0.3159 [6 per cell]
Pt 0.0000 0.0000 0.5000 [3 per cell]